# Sc2Sb2Pd | the Alexandria database | PBE | relaxed
# * ΔE_f (raw): -0.685 eV per atom
# * total moment: 0.0 μB per cell
# * D(E_F): 2.656 states/eV/f.u.
data_Sc2Sb2Pd
_symmetry_space_group_name_H-M 'P 1'
_symmetry_Int_Tables_number 1
_cell_length_a 7.1579
_cell_length_b 7.1579
_cell_length_c 4.2577
_cell_angle_alpha 90.00
_cell_angle_beta 90.00
_cell_angle_gamma 90.00
loop_
_symmetry_equiv_pos_as_xyz
'x,y,z'
loop_
_atom_site_label
_atom_site_fract_x
_atom_site_fract_y
_atom_site_fract_z
Sc1 0.1643 0.6643 0.5000
Sc2 0.6643 0.8357 0.5000
Sc3 0.8357 0.3357 0.5000
Sc4 0.3357 0.1643 0.5000
Sb1 0.3545 0.8545 0.0000
Sb2 0.8545 0.6455 0.0000
Sb3 0.6455 0.1455 0.0000
Sb4 0.1455 0.3545 0.0000
Pd1 0.0000 0.0000 0.0000
Pd2 0.5000 0.5000 0.0000